Density functional theory data (PBE) for a relaxed structure of TaGa2SbO8.

a b c (Å): 4.6775 4.6758 6.1817
angles (deg): 90.00 90.00 91.99
Sites, in units of the cell vectors:
O 0.6946 0.6950 0.0000
Ga 0.5000 0.5000 0.2482
O 0.8064 0.1940 0.2483
O 0.1936 0.8060 0.7517
O 0.3054 0.3050 0.0000
O 0.6940 0.6943 0.5000
Sb 0.0000 0.0000 0.5000
Ta 0.0000 0.0000 0.0000
O 0.1936 0.8060 0.2483
Ga 0.5000 0.5000 0.7518
O 0.8064 0.1940 0.7517
O 0.3060 0.3057 0.5000

Results
formation energy from raw total energies: -1.966 eV per atom
E_tot: -85.29 eV per formula unit
space-group type: Cmmm (65)
magnetization: 0.0 Bohr magnetons per cell

=====

Density functional theory data (PBE) for a relaxed structure of TbGa2SbO8.

a b c (Å): 5.8546 5.8546 5.8546
angles (deg): 108.45 108.45 111.54
Sites, in units of the cell vectors:
O 0.4915 0.6919 0.7996
O 0.7120 0.0380 0.6740
O 0.3640 0.0380 0.3260
Ga 0.7500 0.2500 0.5000
O 0.8923 0.6919 0.2004
O 0.9620 0.6360 0.6740
O 0.3081 0.5085 0.2004
Sb 0.2500 0.7500 0.5000
Tb 0.0000 0.0000 0.0000
O 0.9620 0.2880 0.3260
Ga 0.5000 0.5000 0.0000
O 0.3081 0.1077 0.7996

Results
formation energy from raw total energies: -1.586 eV per atom
E_tot: -73.50 eV per formula unit
space-group type: I-4m2 (119)
magnetization: 2.1 Bohr magnetons per cell

=====

Density functional theory data (PBE) for a relaxed structure of GaSbTeO6.

a b c (Å): 5.2131 5.2131 9.8127
angles (deg): 90.00 90.00 120.00
Sites, in units of the cell vectors:
O 0.6395 0.0073 0.3607
Ga 0.3333 0.6667 0.2500
O 0.3678 0.3605 0.3607
O 0.9927 0.3605 0.1393
O 0.9927 0.6322 0.3607
O 0.6322 0.6395 0.6393
Te 0.6667 0.3333 0.2500
O 0.3605 0.3678 0.8607
O 0.0073 0.6395 0.8607
O 0.6395 0.6322 0.1393
O 0.6322 0.9927 0.8607
Te 0.3333 0.6667 0.7500
O 0.3678 0.0073 0.1393
O 0.0073 0.3678 0.6393
Ga 0.6667 0.3333 0.7500
Sb 0.0000 0.0000 0.0000
O 0.3605 0.9927 0.6393
Sb 0.0000 0.0000 0.5000

Results
formation energy from raw total energies: -1.284 eV per atom
E_tot: -51.60 eV per formula unit
space-group type: P-31c (163)
magnetization: 0.0 Bohr magnetons per cell

=====

Density functional theory data (PBE) for a relaxed structure of GaSbTe2O.

a b c (Å): 5.2579 5.2579 5.3455
angles (deg): 90.00 90.00 90.00
Sites, in units of the cell vectors:
Ga 0.0000 0.0000 0.0000
Sb 0.0000 0.0000 0.5000
Te 0.0000 0.5000 0.0000
O 0.5000 0.5000 0.5000
Te 0.5000 0.0000 0.0000

Results
formation energy from raw total energies: 0.963 eV per atom
E_tot: -13.57 eV per formula unit
space-group type: P4/mmm (123)
E above lowest polymorph: 85.6 kJ per mole of atoms
magnetization: 0.0 Bohr magnetons per cell